No. 1
Below is an optimized crystal structure of InGa2Pt2, with properties calculated at the GGA-PBE level.

Lattice parameters (Å, degrees): 3.348 3.957 13.915 90.00 96.91 90.00
Fractional coordinates of all 10 atoms:
In  0.363  0.250  0.726
In  0.637  0.750  0.274
Ga  0.047  0.250  0.094
Ga  0.953  0.750  0.906
Ga  0.756  0.250  0.513
Ga  0.244  0.750  0.487
Pt  0.184  0.250  0.368
Pt  0.816  0.750  0.632
Pt  0.462  0.250  0.924
Pt  0.538  0.750  0.076

Values from the calculation:
Crystal system: orthorhombic
Total magnetic moment: 0.000 μB/atom
DOS at the Fermi energy: 1.587 states/eV/f.u.
Total energy: -4.63 eV/atom
Formation energy from the elements: -0.450 eV/atom

=====

No. 2
Below is an optimized crystal structure of In3GaPt, with properties calculated at the GGA-PBE level.

Lattice parameters (Å, degrees): 5.156 5.156 5.156 90.00 90.00 90.00
Fractional coordinates of all 5 atoms:
Ga  0.000  0.000  0.000
Pt  0.500  0.500  0.500
In  0.000  0.500  0.000
In  0.000  0.000  0.500
In  0.500  0.000  0.000

Values from the calculation:
Crystal system: cubic
Total magnetic moment: 0.000 μB/atom
DOS at the Fermi energy: 3.464 states/eV/f.u.
Total energy: -2.89 eV/atom
Formation energy from the elements: 0.570 eV/atom

=====

Which value of total magnetic moment does entry 1 give?
0.000 μB/atom